Density functional theory data (GGA+U) for an optimized crystal structure of ZrFe2F8.

For the density of states at the Fermi level, the calculation gives 0.00 states/eV per cell. The energy above the most stable polymorph in this dataset comes out at 0 meV per atom. As for the spin magnetization: 8.0 μB/f.u.

The structure belongs to space group C2/m (No. 12); the cell edges are 9.621, 7.121 and 4.408 Å and the angles 90.00°, 95.28° and 90.00°. The inequivalent atoms are Zr at (0.000, 0.000, 0.000), Fe at (0.120, 0.500, 0.271), F at (0.099, 0.500, 0.758), F at (0.103, 0.212, 0.242) and F at (0.164, 0.000, 0.741).